The following is a PBE with a Hubbard U calculation of a geometry-optimized CoP2H8O10 structure, from the Open Quantum Materials Database.

abc: 7.000 9.835 5.151
angles: 90.00 92.01 90.00
Fractional coordinates of all 42 atoms:
Co (0.000, 0.000, 0.000)
Co (0.500, 0.500, 0.500)
H (0.670, 0.578, 0.064)
H (0.994, 0.271, 0.122)
H (0.605, 0.104, 0.148)
H (0.776, 0.448, 0.182)
H (0.724, 0.948, 0.318)
H (0.895, 0.604, 0.352)
H (0.506, 0.771, 0.378)
H (0.830, 0.078, 0.436)
H (0.170, 0.922, 0.564)
H (0.494, 0.229, 0.622)
H (0.105, 0.396, 0.648)
H (0.276, 0.052, 0.682)
H (0.224, 0.552, 0.818)
H (0.395, 0.896, 0.852)
H (0.006, 0.729, 0.878)
H (0.330, 0.422, 0.936)
O (0.880, 0.329, 0.037)
O (0.478, 0.139, 0.068)
O (0.137, 0.171, 0.166)
O (0.366, 0.370, 0.225)
O (0.715, 0.536, 0.237)
O (0.785, 0.036, 0.263)
O (0.134, 0.870, 0.275)
O (0.363, 0.671, 0.334)
O (0.022, 0.639, 0.432)
O (0.620, 0.829, 0.463)
O (0.380, 0.171, 0.537)
O (0.978, 0.361, 0.568)
O (0.637, 0.329, 0.666)
O (0.866, 0.130, 0.725)
O (0.215, 0.964, 0.737)
O (0.285, 0.464, 0.763)
O (0.634, 0.630, 0.775)
O (0.863, 0.829, 0.834)
O (0.522, 0.861, 0.932)
O (0.120, 0.671, 0.963)
P (0.339, 0.216, 0.246)
P (0.161, 0.716, 0.254)
P (0.839, 0.284, 0.746)
P (0.661, 0.784, 0.754)

Calculated values
Final energy, Ha/atom: -0.215
Symmetry: P2_1/c (14)
Crystal system: monoclinic